Entry 1:
# KHfBr3 (meta-GGA SCAN, PBEsol geometry)
# Crystal system: cubic
# DFT total energy (eV/atom): -26.985
# Formation energy without anion corrections (meV/atom): -1109
# Calculated density (g/cm³): 5.2
# DOS at the Fermi energy (states/eV per cell): 1.9
data_KHfBr3
_cell_length_a 5.264
_cell_length_b 5.264
_cell_length_c 5.264
_cell_angle_alpha 90.00
_cell_angle_beta 90.00
_cell_angle_gamma 90.00
_space_group_name_H-M_alt 'P m -3 m'
_space_group_IT_number 221
_space_group_name_Hall '-P 4 2 3'
loop_
_atom_site_label
_atom_site_type_symbol
_atom_site_fract_x
_atom_site_fract_y
_atom_site_fract_z
K1 K 0.000 0.000 0.000
Hf1 Hf 0.500 0.500 0.500
Br1 Br 0.000 0.500 0.500

Entry 2:
# K2HfSeBr (meta-GGA SCAN, PBEsol geometry)
# Crystal system: tetragonal
# DFT total energy (eV/atom): -23.539
# Formation energy without anion corrections (meV/atom): 235
# Calculated density (g/cm³): 3.1
# DOS at the Fermi energy (states/eV per cell): 4.1
data_K2HfSeBr
_cell_length_a 6.725
_cell_length_b 6.725
_cell_length_c 4.950
_cell_angle_alpha 90.00
_cell_angle_beta 90.00
_cell_angle_gamma 90.00
_space_group_name_H-M_alt 'P 4/m m m'
_space_group_IT_number 123
_space_group_name_Hall '-P 4 2'
loop_
_atom_site_label
_atom_site_type_symbol
_atom_site_fract_x
_atom_site_fract_y
_atom_site_fract_z
K1 K 0.000 0.500 0.000
Hf1 Hf 0.000 0.000 0.000
Se1 Se 0.500 0.500 0.500
Br1 Br 0.000 0.000 0.500

Entry 3:
# LaHfBr3 (meta-GGA SCAN, PBEsol geometry)
# Crystal system: cubic
# DFT total energy (eV/atom): -33.230
# Formation energy without anion corrections (meV/atom): -398
# Calculated density (g/cm³): 4.9
# DOS at the Fermi energy (states/eV per cell): 7.4
data_LaHfBr3
_cell_length_a 5.753
_cell_length_b 5.753
_cell_length_c 5.753
_cell_angle_alpha 90.00
_cell_angle_beta 90.00
_cell_angle_gamma 90.00
_space_group_name_H-M_alt 'P m -3 m'
_space_group_IT_number 221
_space_group_name_Hall '-P 4 2 3'
loop_
_atom_site_label
_atom_site_type_symbol
_atom_site_fract_x
_atom_site_fract_y
_atom_site_fract_z
La1 La 0.000 0.000 0.000
Hf1 Hf 0.500 0.500 0.500
Br1 Br 0.000 0.000 0.500